# NbPb3Se, relaxed, DFT PBE
# **Energy above the lowest structure with this stoichiometry**: 0 meV per atom
# **M_tot**: 2.00 μB per formula unit
# **Symmetry**: Pm-3m (221)
data_NbPb3Se
_chemical_formula_sum 'Nb1 Pb3 Se1'
_cell_length_a 5.523
_cell_length_b 5.523
_cell_length_c 5.523
_cell_angle_alpha 90.00
_cell_angle_beta 90.00
_cell_angle_gamma 90.00
_symmetry_space_group_name_H-M 'P 1'
_symmetry_Int_Tables_number 1
loop_
_symmetry_equiv_pos_as_xyz
'x,y,z'
loop_
_atom_site_label
_atom_site_type_symbol
_atom_site_fract_x
_atom_site_fract_y
_atom_site_fract_z
_atom_site_occupancy
Pb1 Pb 0.000 0.000 0.500 1
Nb1 Nb 0.000 0.000 0.000 1
Se1 Se 0.500 0.500 0.500 1
Pb2 Pb 0.500 0.000 0.000 1
Pb3 Pb 0.000 0.500 0.000 1

***

# La4PaN5, relaxed, DFT PBE
# **M_tot**: 0.00 μB per formula unit
# **Final energy**: -85.39 eV per cell
# **Symmetry**: I4 (79)
data_La4PaN5
_chemical_formula_sum 'La4 Pa1 N5'
_cell_length_a 5.218
_cell_length_b 6.396
_cell_length_c 6.396
_cell_angle_alpha 80.42
_cell_angle_beta 65.93
_cell_angle_gamma 65.93
_symmetry_space_group_name_H-M 'P 1'
_symmetry_Int_Tables_number 1
loop_
_symmetry_equiv_pos_as_xyz
'x,y,z'
loop_
_atom_site_label
_atom_site_type_symbol
_atom_site_fract_x
_atom_site_fract_y
_atom_site_fract_z
_atom_site_occupancy
La1 La 0.802 0.802 0.598 1
N1 N 0.914 0.356 0.823 1
N2 N 0.481 0.000 0.000 1
N3 N 0.737 0.177 0.356 1
La2 La 0.400 0.402 0.802 1
Pa1 Pa 0.008 0.000 0.000 1
La3 La 0.202 0.198 0.402 1
La4 La 0.604 0.598 0.198 1
N4 N 0.270 0.823 0.644 1
N5 N 0.093 0.644 0.177 1

***

# Sc4Ag3Hg, relaxed, DFT PBE
# **E_form**: -0.312 eV per atom
# **M_tot**: 0.00 μB per formula unit
# **Symmetry**: Pmmm (47)
data_Sc4Ag3Hg
_chemical_formula_sum 'Sc4 Ag3 Hg1'
_cell_length_a 3.471
_cell_length_b 4.877
_cell_length_c 9.761
_cell_angle_alpha 90.00
_cell_angle_beta 90.00
_cell_angle_gamma 90.00
_symmetry_space_group_name_H-M 'P 1'
_symmetry_Int_Tables_number 1
loop_
_symmetry_equiv_pos_as_xyz
'x,y,z'
loop_
_atom_site_label
_atom_site_type_symbol
_atom_site_fract_x
_atom_site_fract_y
_atom_site_fract_z
_atom_site_occupancy
Ag1 Ag 0.500 0.000 0.252 1
Ag2 Ag 0.500 0.500 0.500 1
Hg1 Hg 0.500 0.500 0.000 1
Sc1 Sc 0.000 0.500 0.746 1
Ag3 Ag 0.500 0.000 0.748 1
Sc2 Sc 0.000 0.000 0.500 1
Sc3 Sc 0.000 0.000 0.000 1
Sc4 Sc 0.000 0.500 0.254 1

***

# Nd4HoIn3, relaxed, DFT PBE
# **E_form**: -0.326 eV per atom
# **M_tot**: 0.02 μB per formula unit
# **Symmetry**: R-3m (166)
data_Nd4HoIn3
_chemical_formula_sum 'Nd4 Ho1 In3'
_cell_length_a 5.503
_cell_length_b 5.503
_cell_length_c 9.714
_cell_angle_alpha 73.55
_cell_angle_beta 73.55
_cell_angle_gamma 60.00
_symmetry_space_group_name_H-M 'P 1'
_symmetry_Int_Tables_number 1
loop_
_symmetry_equiv_pos_as_xyz
'x,y,z'
loop_
_atom_site_label
_atom_site_type_symbol
_atom_site_fract_x
_atom_site_fract_y
_atom_site_fract_z
_atom_site_occupancy
In1 In 0.741 0.741 0.777 1
Ho1 Ho 0.000 0.000 0.000 1
In2 In 0.259 0.259 0.223 1
Nd1 Nd 0.131 0.131 0.608 1
Nd2 Nd 0.382 0.382 0.854 1
In3 In 0.500 0.500 0.500 1
Nd3 Nd 0.869 0.869 0.392 1
Nd4 Nd 0.618 0.618 0.146 1

***

# Y2ThMg2In2, relaxed, DFT PBE
# **E_form**: -0.182 eV per atom
# **M_tot**: 0.00 μB per formula unit
# **Symmetry**: R-3m (166)
data_Y2ThMg2In2
_chemical_formula_sum 'Y2 Th1 Mg2 In2'
_cell_length_a 5.030
_cell_length_b 5.030
_cell_length_c 9.276
_cell_angle_alpha 74.27
_cell_angle_beta 74.27
_cell_angle_gamma 60.00
_symmetry_space_group_name_H-M 'P 1'
_symmetry_Int_Tables_number 1
loop_
_symmetry_equiv_pos_as_xyz
'x,y,z'
loop_
_atom_site_label
_atom_site_type_symbol
_atom_site_fract_x
_atom_site_fract_y
_atom_site_fract_z
_atom_site_occupancy
Mg1 Mg 0.404 0.404 0.788 1
Mg2 Mg 0.596 0.596 0.212 1
Th1 Th 0.000 0.000 0.000 1
Y1 Y 0.870 0.870 0.389 1
Y2 Y 0.130 0.130 0.611 1
In1 In 0.738 0.738 0.785 1
In2 In 0.262 0.262 0.215 1

***

# Sb3As5, relaxed, DFT PBE
# **M_tot**: 0.00 μB per formula unit
# **Final energy**: -32.76 eV per cell
# **Symmetry**: Cmmm (65)
data_Sb3As5
_chemical_formula_sum 'Sb3 As5'
_cell_length_a 6.190
_cell_length_b 6.190
_cell_length_c 4.948
_cell_angle_alpha 90.00
_cell_angle_beta 90.00
_cell_angle_gamma 108.62
_symmetry_space_group_name_H-M 'P 1'
_symmetry_Int_Tables_number 1
loop_
_symmetry_equiv_pos_as_xyz
'x,y,z'
loop_
_atom_site_label
_atom_site_type_symbol
_atom_site_fract_x
_atom_site_fract_y
_atom_site_fract_z
_atom_site_occupancy
As1 As 0.500 0.000 0.000 1
Sb1 Sb 0.218 0.782 0.500 1
Sb2 Sb 0.782 0.218 0.500 1
Sb3 Sb 0.500 0.500 0.000 1
As2 As 0.000 0.500 0.000 1
As3 As 0.247 0.247 0.500 1
As4 As 0.753 0.753 0.500 1
As5 As 0.000 0.000 0.000 1